Record 1
This record from Alexandria via LeMat-Bulk describes a geometry-optimized CaPr3Hg3 structure. The functional is PBE.

```
14
Lattice="7.4661 1.6774 0.4631 -1.8245 7.4315 0.4631 -0.3356 -0.5419 7.3967" Properties=species:S:1:pos:R:3 pbc="T T T"
Ca 1.5696 2.5343 0.2578
Hg 1.6571 7.8632 6.2463
Hg 3.6489 0.7037 2.0766
Pr 5.3632 2.9798 0.4631
Pr 0.2784 6.1291 0.4631
Hg -0.9956 3.5803 2.0766
Pr 4.7121 3.0082 4.1614
Pr 4.0664 6.5655 4.3928
Hg 5.3958 8.7120 6.3386
Ca 3.7363 6.0326 8.0651
Pr 1.2396 2.0014 3.9301
Hg 6.3015 4.9867 6.2463
Hg -0.0898 -0.1450 1.9843
Pr 0.5939 5.5588 4.1614
```

## Properties
SG   Cmmm (65)
Calculated density   8.1 g/cm³
Crystal system   orthorhombic
E_form   -0.35 eV/atom
Density of states at the Fermi level   0.977 states/eV per atom
VASP energy   -2.82 eV per atom



Record 2
This record from Alexandria via LeMat-Bulk describes a geometry-optimized Ca4Pr9Hg11 structure. The functional is PBE.

```
24
Lattice="-1.5019 0.1700 -3.2818 -11.1563 -7.3837 4.7229 -2.9553 13.7221 2.0634" Properties=species:S:1:pos:R:3 pbc="T T T"
Pr -14.0135 3.7897 4.6205
Hg -12.3074 1.0824 5.6884
Ca -6.1141 0.3881 0.8292
Pr -12.5233 7.6251 4.1372
Pr -7.4961 8.9003 1.9027
Hg -1.8042 5.2560 1.0980
Ca -10.8927 2.5345 3.1273
Hg -8.0879 0.5130 3.7279
Pr -8.1173 -2.3919 1.6019
Ca -4.7207 3.9740 0.3773
Pr -3.0902 -1.1166 -0.6326
Hg 0.0000 0.0000 0.0000
Hg -9.3659 8.6524 4.7345
Hg -4.7457 -2.3140 2.0519
Hg -10.9806 4.9321 5.2807
Hg -9.6865 -3.6012 4.2463
Pr -7.8067 3.2542 1.7523
Hg -3.1309 1.4063 1.5057
Ca -9.4994 6.1204 2.6754
Hg -4.4251 9.9396 2.5401
Pr -1.5999 2.7187 -1.1159
Pr -11.3242 -0.9515 3.1441
Pr -4.2893 7.4599 0.3605
Hg -6.0237 5.8254 3.0585
```

## Properties
SG   Cmmm (65)
Calculated density   8.7 g/cm³
Crystal system   orthorhombic
E_form   -0.40 eV/atom
Density of states at the Fermi level   0.992 states/eV per atom
VASP energy   -2.66 eV per atom



Record 3
This record from Alexandria via LeMat-Bulk describes a geometry-optimized Ca2Pr3Hg3 structure. The functional is PBE.

```
8
Lattice="-1.1894 -3.3888 -1.3746 5.3048 -1.6905 -0.4227 -2.5413 -1.6899 11.7444" Properties=species:S:1:pos:R:3 pbc="T T T"
Pr -0.5947 -1.6944 -0.6873
Hg -0.1128 -0.9867 2.5302
Hg 1.6869 -5.7825 7.4170
Pr 1.9457 -3.5195 1.6141
Hg 2.6524 -0.8452 -0.2113
Ca 2.3870 -3.1665 5.7411
Ca -0.8129 -3.6027 4.2061
Pr -0.3716 -3.2497 8.3331
```

## Properties
SG   Immm (71)
Calculated density   7.3 g/cm³
Crystal system   orthorhombic
E_form   -0.33 eV/atom
Density of states at the Fermi level   1.066 states/eV per atom
VASP energy   -2.73 eV per atom



Record 4
This record from Alexandria via LeMat-Bulk describes a geometry-optimized CaPr3Hg2 structure. The functional is PBE.

```
12
Lattice="5.3610 0.0000 0.0000 0.0000 7.2159 0.0000 0.0000 0.0000 9.6964" Properties=species:S:1:pos:R:3 pbc="T T T"
Pr 0.0000 5.9426 6.4781
Pr 0.0000 3.5466 9.1525
Hg 2.6805 5.3126 8.1924
Pr 2.6805 1.2501 8.0456
Pr 0.0000 7.1545 0.5440
Hg 0.0000 1.8960 6.3239
Hg 2.6805 1.7047 1.5041
Ca 2.6805 3.6997 5.3558
Pr 2.6805 4.8581 1.6508
Hg 0.0000 5.5039 3.3726
Ca 2.6805 0.0917 4.3407
Pr 0.0000 2.3347 3.2183
```

## Properties
SG   Pmc2_1 (26)
Energy above the most stable polymorph in this dataset   0.00 kJ/mol of atoms
Calculated density   7.6 g/cm³
Crystal system   orthorhombic
E_form   -0.35 eV/atom
Density of states at the Fermi level   0.946 states/eV per atom
VASP energy   -3.17 eV per atom



Record 5
This record from Alexandria via LeMat-Bulk describes a geometry-optimized CaPr3Hg12 structure. The functional is PBE.

```
16
Lattice="4.7251 0.0000 0.0000 0.0000 4.7251 0.0000 0.0000 0.0000 18.8098" Properties=species:S:1:pos:R:3 pbc="T T T"
Pr 0.0000 0.0000 4.6275
Hg 2.3626 2.3626 0.0000
Hg 0.0000 2.3626 2.3343
Hg 2.3626 2.3626 14.0832
Hg 0.0000 2.3626 16.4755
Hg 0.0000 2.3626 11.7645
Hg 2.3626 0.0000 11.7645
Ca 0.0000 0.0000 0.0000
Hg 2.3626 0.0000 7.0453
Pr 0.0000 0.0000 14.1823
Hg 0.0000 2.3626 7.0453
Hg 2.3626 0.0000 2.3343
Hg 2.3626 2.3626 9.4049
Hg 2.3626 0.0000 16.4755
Hg 2.3626 2.3626 4.7265
Pr 0.0000 0.0000 9.4049
```

## Properties
SG   P4/mmm (123)
Calculated density   11.3 g/cm³
Crystal system   tetragonal
E_form   -0.36 eV/atom
Density of states at the Fermi level   0.784 states/eV per atom
VASP energy   -1.61 eV per atom



Record 6
This record from Alexandria via LeMat-Bulk describes a geometry-optimized CaPr7Hg4 structure. The functional is PBE.

```
12
Lattice="-4.8050 2.9580 1.8212 -3.6174 -4.4030 7.2586 1.5589 4.3447 6.7078" Properties=species:S:1:pos:R:3 pbc="T T T"
Pr -2.0317 -1.2463 6.3151
Hg -4.1900 3.3289 12.4929
Pr -6.1776 0.6746 11.5599
Hg -4.2672 -0.2916 8.5180
Hg -2.6736 -0.4293 3.2948
Hg -2.5963 3.1912 7.2697
Pr -2.4025 1.4790 0.9106
Pr -2.5648 1.1831 10.6144
Pr -0.6859 2.2251 4.2278
Ca 0.0000 0.0000 0.0000
Pr -4.2987 1.7166 5.1733
Pr -4.8318 4.1459 9.4726
```

## Properties
SG   C2/m (12)
Calculated density   7.9 g/cm³
Crystal system   monoclinic
E_form   -0.12 eV/atom
Density of states at the Fermi level   1.264 states/eV per atom
VASP energy   -3.18 eV per atom